MnSi2Ni, relaxed, DFT PBE; uncorrected energy = -6.3216 eV/atom; space group = I-42d, No. 122; formation energy without anion corrections = 0.1276 eV per atom; density = 5.2 g/cm³; spin magnetization = 2.940 μB/f.u.; Fermi-level density of states = 4.81 states/eV per cell
1.0
6.548 0.000 0.000
0.000 6.548 0.000
3.274 3.274 2.540
Ni Si Mn
2 4 2
Cartesian
0.000 0.000 0.000
6.548 3.274 1.270
5.098 1.637 0.635
1.451 4.911 0.635
4.911 4.725 1.905
8.185 8.372 1.905
3.274 3.274 0.000
3.274 6.548 1.270

Be2RuW, relaxed, DFT PBE; uncorrected energy = -7.3387 eV/atom; space group = Fm-3m, No. 225; density = 11.0 g/cm³; E_form = 0.0816 eV/atom; spin magnetization = 0.000 μB/f.u.; energy above the most stable polymorph in this dataset = 0.993 eV per formula unit; Fermi-level density of states = 3.56 states/eV per cell
1.0
0.393 -3.988 -0.300
-2.022 -2.011 -2.832
1.965 -1.596 -3.121
Ru W Be
1 1 2
Cartesian
0.000 0.000 0.000
0.169 -3.798 -3.126
0.084 -1.899 -1.563
0.253 -5.697 -4.689

NiSn2BCl, relaxed, DFT PBE; uncorrected energy = -3.2197 eV/atom; space group = P4/mmm, No. 123; formation energy without anion corrections = 1.2425 eV per atom; density = 4.7 g/cm³; spin magnetization = 0.000 μB/f.u.; Fermi-level density of states = 2.24 states/eV per cell
1.0
-2.731 -1.118 4.664
2.793 -2.669 0.996
2.841 3.947 2.610
Ni B Sn Cl
1 1 2 1
Cartesian
1.397 -1.335 0.498
1.452 0.079 4.135
1.421 1.973 1.305
-1.366 -0.559 2.332
0.000 0.000 0.000

SiSeCl, relaxed, DFT PBE; uncorrected energy = -3.4542 eV/atom; space group = F-43m, No. 216; formation energy without anion corrections = 0.1305 eV per atom; density = 3.6 g/cm³; spin magnetization = 0.000 μB/f.u.; energy above the most stable polymorph in this dataset = 2.101 eV per formula unit; Fermi-level density of states = 2.50 states/eV per cell
1.0
4.537 0.000 0.000
2.269 3.930 0.000
2.269 1.310 3.705
Cl Se Si
1 1 1
Cartesian
0.000 0.000 0.000
4.537 2.620 1.852
6.806 3.930 2.779

SrAcSn4, relaxed, DFT PBE; uncorrected energy = -4.0821 eV/atom; space group = F-43m, No. 216; density = 7.0 g/cm³; E_form = -0.4485 eV/atom; spin magnetization = 0.000 μB/f.u.; energy above the most stable polymorph in this dataset = 0.000 eV per formula unit; Fermi-level density of states = 5.80 states/eV per cell
1.0
6.408 0.000 0.000
3.204 5.550 0.000
3.204 1.850 5.232
Sr Ac Sn
1 1 4
Cartesian
3.204 1.850 1.308
0.000 0.000 0.000
6.408 3.700 0.652
6.408 1.848 3.271
8.012 4.626 3.271
4.804 4.626 3.271

AcAlAg2F8, relaxed, DFT PBE; uncorrected energy = -5.2158 eV/atom; space group = P2/m, No. 10; formation energy without anion corrections = -2.8388 eV per atom; density = 5.6 g/cm³; spin magnetization = 0.000 μB/f.u.; Fermi-level density of states = 0.00 states/eV per cell
1.0
4.528 -0.172 -0.002
-0.138 5.729 -0.006
0.004 0.008 7.159
Ac Al Ag F
1 1 2 8
Cartesian
0.002 0.004 3.579
0.000 0.000 0.000
2.198 2.785 5.622
2.196 2.780 1.528
0.473 4.642 1.395
2.930 4.546 7.152
3.919 0.918 1.397
3.922 0.923 5.755
1.465 1.019 -0.002
0.475 4.647 5.753
2.294 4.271 3.573
2.101 1.294 3.577

Tb4Ce3DyP8, relaxed, DFT PBE; uncorrected energy = -6.8377 eV/atom; space group = R-3m, No. 166; density = 6.5 g/cm³; E_form = -1.5750 eV/atom; spin magnetization = 1.367 μB/f.u.; Fermi-level density of states = 14.86 states/eV per cell
1.0
8.091 0.000 0.000
0.000 8.087 -0.008
-4.046 -4.042 5.724
Tb Ce Dy P
4 3 1 8
Cartesian
4.046 0.000 0.000
2.023 -2.021 2.862
0.000 0.000 0.000
-2.023 -2.021 2.862
4.046 4.043 -0.004
2.023 2.022 2.858
-2.023 2.022 2.858
0.000 4.043 -0.004
2.018 6.063 -0.004
0.000 4.046 2.851
0.000 -0.011 2.852
6.074 6.063 -0.004
-2.028 -2.018 5.720
4.046 4.055 2.864
4.046 -0.002 2.865
2.028 -2.018 5.720

Tc2AsBr, relaxed, DFT PBE; uncorrected energy = -6.3624 eV/atom; space group = R-3m, No. 166; formation energy without anion corrections = 0.4012 eV per atom; density = 9.1 g/cm³; spin magnetization = 0.000 μB/f.u.; energy above the most stable polymorph in this dataset = 1.126 eV per formula unit; Fermi-level density of states = 2.56 states/eV per cell
1.0
-6.020 5.413 -1.134
-7.283 3.589 0.954
-5.423 5.840 1.822
As Tc Br
1 2 1
Cartesian
-4.681 3.710 0.410
-18.628 14.764 1.633
-9.460 7.498 0.829
-14.044 11.131 1.231

LaMo2Au, relaxed, DFT PBE; uncorrected energy = -7.1245 eV/atom; space group = R3m, No. 160; density = 10.3 g/cm³; E_form = 0.3422 eV/atom; spin magnetization = 0.000 μB/f.u.; energy above the most stable polymorph in this dataset = 1.009 eV per formula unit; Fermi-level density of states = 4.14 states/eV per cell
1.0
9.214 -0.029 -0.017
8.630 3.228 -0.017
8.630 1.547 2.833
Au La Mo
1 1 2
Cartesian
13.537 2.426 1.431
19.810 3.551 2.094
26.032 4.666 2.752
6.804 1.219 0.719